No. 1
{
  "formula": "KMnZn2",
  "functional": "meta-GGA SCAN",
  "state": "single point on PBEsol structure",
  "lattice": [[3.083, 0.000, 0.000], [0.000, 3.083, 0.000], [0.000, 0.000, 8.477]],
  "species": ["K", "Mn", "Zn", "Zn"],
  "frac_coords": [[0.000, 0.000, 0.489], [0.500, 0.500, 0.836], [0.000, 0.000, 0.997], [0.500, 0.500, 0.178]],
  "formation_energy_mev_per_atom": 270,
  "vol_a3_per_cell": 81,
  "magmom_total_mub_per_fu": 4.2,
  "relative_energy_mev_per_atom": 1,
  "total_energy_ev_per_atom": -13.1339
}

***

No. 2
{
  "formula": "Ca2LaSc",
  "functional": "meta-GGA SCAN",
  "state": "single point on PBEsol structure",
  "lattice": [[-0.747, -5.664, 0.598], [2.983, -2.887, 3.970], [-2.662, -2.071, 4.650]],
  "species": ["Sc", "Ca", "Ca", "La"],
  "frac_coords": [[0.250, 0.250, 0.250], [0.000, 0.000, 0.000], [0.750, 0.750, 0.750], [0.500, 0.500, 0.500]],
  "formation_energy_mev_per_atom": 195,
  "vol_a3_per_cell": 134,
  "magmom_total_mub_per_fu": 0.0,
  "relative_energy_mev_per_atom": 99,
  "total_energy_ev_per_atom": -18.9721
}

***

No. 3
{
  "formula": "La2CdPb",
  "functional": "meta-GGA SCAN",
  "state": "single point on PBEsol structure",
  "lattice": [[-3.061, 1.771, 0.583], [-1.398, -3.276, 2.613], [3.054, 3.358, 5.844]],
  "species": ["Pb", "La", "La", "Cd"],
  "frac_coords": [[0.500, 0.500, 0.500], [0.000, 0.000, 0.249], [0.000, 0.000, 0.751], [0.500, 0.500, 0.000]],
  "formation_energy_mev_per_atom": -649,
  "vol_a3_per_cell": 117,
  "magmom_total_mub_per_fu": 0.0,
  "total_energy_ev_per_atom": -48.7507
}

***

No. 4
{
  "formula": "Sc2Sb",
  "functional": "meta-GGA SCAN",
  "state": "single point on PBEsol structure",
  "lattice": [[-2.299, 3.938, 1.245], [-2.706, 0.031, 3.875], [1.367, 2.428, 3.818]],
  "species": ["Sb", "Sc", "Sc"],
  "frac_coords": [[0.000, 0.000, 0.000], [0.750, 0.750, 0.750], [0.250, 0.250, 0.250]],
  "vol_a3_per_cell": 75,
  "magmom_total_mub_per_fu": 1.8,
  "total_energy_ev_per_atom": -22.5018,
  "formation_energy_uncorrected_ev_per_atom": -0.590
}

***

No. 5
{
  "formula": "Cs4PbI6",
  "functional": "meta-GGA SCAN",
  "state": "single point on PBEsol structure",
  "lattice": [[-5.744, 4.412, 7.288], [-8.596, -2.088, -5.228], [-1.039, -8.973, 4.897]],
  "species": ["Cs", "Cs", "Cs", "Cs", "Cs", "Cs", "Cs", "Cs", "Pb", "Pb", "I", "I", "I", "I", "I", "I", "I", "I", "I", "I", "I", "I"],
  "frac_coords": [[0.250, 0.250, 0.250], [0.750, 0.750, 0.750], [0.632, 0.868, 0.250], [0.250, 0.632, 0.868], [0.868, 0.250, 0.632], [0.368, 0.132, 0.750], [0.750, 0.368, 0.132], [0.132, 0.750, 0.368], [0.000, 0.000, 0.000], [0.500, 0.500, 0.500], [0.201, 0.430, 0.562], [0.562, 0.201, 0.430], [0.430, 0.562, 0.201], [0.070, 0.299, 0.938], [0.938, 0.070, 0.299], [0.299, 0.938, 0.070], [0.799, 0.570, 0.438], [0.438, 0.799, 0.570], [0.570, 0.438, 0.799], [0.930, 0.701, 0.062], [0.701, 0.062, 0.930], [0.062, 0.930, 0.701]],
  "vol_a3_per_cell": 1084,
  "magmom_total_mub_per_fu": 0.0,
  "total_energy_ev_per_atom": -42.1345,
  "formation_energy_uncorrected_ev_per_atom": -1.455
}

***

No. 6
{
  "formula": "BaTiTe2N",
  "functional": "meta-GGA SCAN",
  "state": "single point on PBEsol structure",
  "lattice": [[4.365, 0.000, 0.000], [0.000, 6.212, 0.000], [0.000, 0.000, 6.212]],
  "species": ["N", "Te", "Te", "Ba", "Ti"],
  "frac_coords": [[0.500, 0.000, 0.000], [0.000, 0.000, 0.500], [0.000, 0.500, 0.000], [0.000, 0.000, 0.000], [0.500, 0.500, 0.500]],
  "vol_a3_per_cell": 168,
  "magmom_total_mub_per_fu": 2.5,
  "total_energy_ev_per_atom": -26.8795,
  "formation_energy_uncorrected_ev_per_atom": 0.995
}

***

No. 7
{
  "formula": "AsSN2F",
  "functional": "meta-GGA SCAN",
  "state": "single point on PBEsol structure",
  "lattice": [[-2.986, 2.201, 0.136], [-0.627, -1.067, 3.500], [2.178, 2.877, 1.268]],
  "species": ["As", "N", "N", "S", "F"],
  "frac_coords": [[0.500, 0.500, 0.500], [0.000, 0.500, 0.000], [0.500, 0.000, 0.000], [0.000, 0.000, 0.000], [0.000, 0.000, 0.500]],
  "vol_a3_per_cell": 53,
  "magmom_total_mub_per_fu": 0.0,
  "total_energy_ev_per_atom": -9.1348,
  "formation_energy_uncorrected_ev_per_atom": 1.253
}

***

No. 8
{
  "formula": "Li2SiRh",
  "functional": "meta-GGA SCAN",
  "state": "single point on PBEsol structure",
  "lattice": [[2.910, 0.000, 0.000], [-1.455, 4.217, -0.002], [0.000, -1.511, 4.246]],
  "species": ["Si", "Rh", "Li", "Li"],
  "frac_coords": [[0.241, 0.481, 0.662], [0.512, 0.024, 0.585], [0.995, 0.990, 0.054], [0.752, 0.505, 0.199]],
  "vol_a3_per_cell": 52,
  "magmom_total_mub_per_fu": 0.0,
  "total_energy_ev_per_atom": -12.6334,
  "formation_energy_uncorrected_ev_per_atom": -0.492
}

***

No. 9
{
  "formula": "Mg3PC",
  "functional": "meta-GGA SCAN",
  "state": "single point on PBEsol structure",
  "lattice": [[4.701, 0.000, 0.000], [0.000, 4.701, 0.000], [0.000, 0.000, 4.701]],
  "species": ["P", "Mg", "Mg", "Mg", "C"],
  "frac_coords": [[0.000, 0.000, 0.000], [0.000, 0.500, 0.000], [0.000, 0.000, 0.500], [0.500, 0.000, 0.000], [0.500, 0.500, 0.500]],
  "formation_energy_mev_per_atom": 911,
  "vol_a3_per_cell": 104,
  "magmom_total_mub_per_fu": 1.0,
  "total_energy_ev_per_atom": -6.1733
}

***

No. 10
{
  "formula": "Y2TlSb",
  "functional": "meta-GGA SCAN",
  "state": "single point on PBEsol structure",
  "lattice": [[-3.988, 1.787, 0.386], [-1.676, -3.892, 0.703], [2.826, -0.242, 5.392]],
  "species": ["Y", "Y", "Sb", "Tl"],
  "frac_coords": [[0.010, 0.875, 0.021], [0.744, 0.375, 0.488], [0.471, 0.375, 0.943], [0.274, 0.875, 0.548]],
  "vol_a3_per_cell": 107,
  "magmom_total_mub_per_fu": 0.0,
  "relative_energy_mev_per_atom": 0,
  "total_energy_ev_per_atom": -42.2032,
  "formation_energy_uncorrected_ev_per_atom": -0.877
}

***

No. 11
{
  "formula": "LiFeS3",
  "functional": "meta-GGA SCAN",
  "state": "single point on PBEsol structure",
  "lattice": [[-0.293, 4.476, -0.111], [-2.958, -0.110, 3.372], [3.361, 0.293, 2.958]],
  "species": ["S", "S", "S", "Fe", "Li"],
  "frac_coords": [[0.000, 0.500, 0.000], [0.000, 0.000, 0.500], [0.500, 0.000, 0.000], [0.000, 0.000, 0.000], [0.500, 0.500, 0.500]],
  "vol_a3_per_cell": 90,
  "magmom_total_mub_per_fu": 4.2,
  "total_energy_ev_per_atom": -10.0581,
  "formation_energy_uncorrected_ev_per_atom": -0.177
}

***

No. 12
{
  "formula": "CdOsPb2",
  "functional": "meta-GGA SCAN",
  "state": "single point on PBEsol structure",
  "lattice": [[-1.133, 4.174, 0.393], [-3.761, -1.191, 1.816], [4.371, -1.353, 2.971]],
  "species": ["Cd", "Os", "Pb", "Pb"],
  "frac_coords": [[0.500, 0.500, 0.000], [0.250, 0.750, 0.500], [0.000, 0.000, 0.000], [0.750, 0.250, 0.500]],
  "formation_energy_mev_per_atom": 893,
  "vol_a3_per_cell": 85,
  "magmom_total_mub_per_fu": 0.0,
  "total_energy_ev_per_atom": -62.5712
}

***

No. 13
{
  "formula": "TaW2Au",
  "functional": "meta-GGA SCAN",
  "state": "single point on PBEsol structure",
  "lattice": [[3.426, 0.000, 0.000], [0.000, 4.390, 0.000], [-1.713, -2.195, 4.359]],
  "species": ["Au", "Ta", "W", "W"],
  "frac_coords": [[0.500, 0.000, 0.000], [0.000, 0.500, 0.000], [0.741, 0.741, 0.481], [0.259, 0.259, 0.519]],
  "formation_energy_mev_per_atom": 197,
  "vol_a3_per_cell": 66,
  "magmom_total_mub_per_fu": 0.0,
  "relative_energy_mev_per_atom": 78,
  "total_energy_ev_per_atom": -68.5816
}

***

No. 14
{
  "formula": "Zn2FeBr",
  "functional": "meta-GGA SCAN",
  "state": "single point on PBEsol structure",
  "lattice": [[-1.855, -1.896, -1.320], [2.791, -0.800, -2.772], [1.603, -3.006, 5.389]],
  "species": ["Br", "Fe", "Zn", "Zn"],
  "frac_coords": [[0.574, 0.574, 0.148], [0.242, 0.742, 0.483], [0.911, 0.911, 0.822], [0.774, 0.274, 0.547]],
  "vol_a3_per_cell": 70,
  "magmom_total_mub_per_fu": 2.6,
  "relative_energy_mev_per_atom": 0,
  "total_energy_ev_per_atom": -15.9639,
  "formation_energy_uncorrected_ev_per_atom": 0.191
}

***

No. 15
{
  "formula": "Li2CuNi",
  "functional": "meta-GGA SCAN",
  "state": "single point on PBEsol structure",
  "lattice": [[2.451, 0.000, 0.000], [0.000, 3.791, 0.000], [0.000, 0.000, 5.085]],
  "species": ["Ni", "Cu", "Li", "Li"],
  "frac_coords": [[0.000, 0.000, 0.517], [0.500, 0.500, 0.728], [0.000, 0.000, 0.991], [0.500, 0.500, 0.264]],
  "formation_energy_mev_per_atom": 33,
  "vol_a3_per_cell": 47,
  "magmom_total_mub_per_fu": 0.2,
  "relative_energy_mev_per_atom": 25,
  "total_energy_ev_per_atom": -9.0051
}

***

No. 16
{
  "formula": "Na2CoAsCO7",
  "functional": "meta-GGA SCAN",
  "state": "single point on PBEsol structure",
  "lattice": [[5.187, 0.000, -0.001], [0.000, 6.408, 0.000], [-0.438, 0.000, 8.994]],
  "species": ["Na", "Na", "Na", "Na", "Co", "Co", "As", "As", "C", "C", "O", "O", "O", "O", "O", "O", "O", "O", "O", "O", "O", "O", "O", "O"],
  "frac_coords": [[0.238, 0.509, 0.769], [0.238, 0.991, 0.769], [0.762, 0.491, 0.231], [0.762, 0.009, 0.231], [0.791, 0.250, 0.662], [0.209, 0.750, 0.338], [0.715, 0.750, 0.570], [0.285, 0.250, 0.430], [0.719, 0.250, 0.916], [0.281, 0.750, 0.084], [0.321, 0.750, 0.949], [0.946, 0.250, 0.859], [0.536, 0.250, 0.809], [0.801, 0.955, 0.685], [0.801, 0.545, 0.685], [0.134, 0.250, 0.595], [0.382, 0.750, 0.533], [0.618, 0.250, 0.467], [0.866, 0.750, 0.405], [0.199, 0.455, 0.315], [0.199, 0.045, 0.315], [0.464, 0.750, 0.191], [0.054, 0.750, 0.141], [0.679, 0.250, 0.051]],
  "vol_a3_per_cell": 299,
  "magmom_total_mub_per_fu": 0.0,
  "total_energy_ev_per_atom": -9.9502,
  "formation_energy_uncorrected_ev_per_atom": -1.647
}

***

No. 17
{
  "formula": "CsRb2SbF6",
  "functional": "meta-GGA SCAN",
  "state": "single point on PBEsol structure",
  "lattice": [[-3.586, -5.629, 1.980], [1.826, -3.438, 5.771], [-4.064, 0.270, 5.645]],
  "species": ["Cs", "Rb", "Rb", "Sb", "F", "F", "F", "F", "F", "F"],
  "frac_coords": [[0.500, 0.500, 0.500], [0.750, 0.750, 0.750], [0.250, 0.250, 0.250], [0.000, 0.000, 0.000], [0.779, 0.221, 0.221], [0.779, 0.779, 0.221], [0.221, 0.779, 0.779], [0.779, 0.221, 0.779], [0.221, 0.779, 0.221], [0.221, 0.221, 0.779]],
  "vol_a3_per_cell": 239,
  "magmom_total_mub_per_fu": 0.0,
  "total_energy_ev_per_atom": -16.3958,
  "formation_energy_uncorrected_ev_per_atom": -2.617
}

***

No. 18
{
  "formula": "BaSr2Fe",
  "functional": "meta-GGA SCAN",
  "state": "single point on PBEsol structure",
  "lattice": [[5.830, 0.000, 0.000], [2.915, 5.049, 0.000], [2.915, 1.683, 4.760]],
  "species": ["Ba", "Fe", "Sr", "Sr"],
  "frac_coords": [[0.000, 0.000, 0.000], [0.500, 0.500, 0.500], [0.750, 0.750, 0.750], [0.250, 0.250, 0.250]],
  "formation_energy_mev_per_atom": 528,
  "vol_a3_per_cell": 140,
  "magmom_total_mub_per_fu": 3.2,
  "relative_energy_mev_per_atom": 137,
  "total_energy_ev_per_atom": -25.0294
}

***

No. 19
{
  "formula": "Li2LaAu2",
  "functional": "meta-GGA SCAN",
  "state": "single point on PBEsol structure",
  "lattice": [[-1.617, 0.068, -3.603], [-3.575, -0.529, 1.594], [1.838, 6.743, 1.468]],
  "species": ["La", "Au", "Au", "Li", "Li"],
  "frac_coords": [[0.000, 0.000, 0.000], [0.391, 0.391, 0.782], [0.609, 0.609, 0.218], [0.250, 0.750, 0.500], [0.750, 0.250, 0.500]],
  "formation_energy_mev_per_atom": -793,
  "vol_a3_per_cell": 103,
  "magmom_total_mub_per_fu": 0.0,
  "total_energy_ev_per_atom": -38.0326
}

***

No. 20
{
  "formula": "In2WSe",
  "functional": "meta-GGA SCAN",
  "state": "single point on PBEsol structure",
  "lattice": [[2.859, 0.000, 0.000], [0.000, 3.221, 0.000], [0.000, 0.000, 8.624]],
  "species": ["In", "In", "Se", "W"],
  "frac_coords": [[0.000, 0.000, 0.727], [0.000, 0.000, 0.273], [0.500, 0.500, 0.000], [0.500, 0.500, 0.500]],
  "vol_a3_per_cell": 79,
  "magmom_total_mub_per_fu": 0.0,
  "total_energy_ev_per_atom": -38.5218,
  "formation_energy_uncorrected_ev_per_atom": 0.613
}